First-principles (PBE) data for MoRh2Cl after structural relaxation, as listed in Alexandria.

The space group is I-42d (No. 122) and the conventional cell measures 6.135, 6.135 and 8.736 Å, with angles of 90.00, 90.00 and 90.00 degrees. Symmetry generates all atoms from Mo at (0.000, 0.000, 0.000), Rh at (0.238, 0.250, 0.125) and Cl at (0.000, 0.000, 0.500).

Its formation energy from raw total energies is 58 kJ/mol of atoms. The calculated volume is 329 Å³/cell.